Entry 1:
DFT (GGA-PBE) results for a relaxed PuH8Ir2Rh crystal.

Cell: 4.7145 4.7145 6.1578 Å, 67.49 67.49 60.00°
Closest atoms and distances in Å follow each position.
Fractional coordinates of all 12 atoms:
Pu1 0.5000 0.5000 0.5000  6 H 2.34
H1 0.1819 0.1819 0.4543  1 Ir 1.62
H2 0.6398 0.2475 0.1912  1 Ir 1.70, 1 Rh 1.78
H3 0.8181 0.8181 0.5457  1 Ir 1.62
H4 0.9215 0.6398 0.1912  1 Ir 1.70, 1 Rh 1.78
H5 0.0785 0.3602 0.8088  1 Ir 1.70, 1 Rh 1.78
H6 0.2475 0.9215 0.1912  1 Ir 1.70, 1 Rh 1.78
H7 0.7525 0.0785 0.8088  1 Ir 1.70, 1 Rh 1.78
H8 0.3602 0.7525 0.8088  1 Ir 1.70, 1 Rh 1.78
Ir1 0.2798 0.2798 0.1607  4 H 1.62-1.70
Ir2 0.7202 0.7202 0.8393  4 H 1.62-1.70
Rh1 0.0000 0.0000 0.0000  6 H 1.78

Properties
Space group: No. 148
E, eV/atom: -5.570


Entry 2:
DFT (GGA-PBE) results for a relaxed La12PrHo3 crystal.

Cell: 5.2151 5.2151 20.8700 Å, 90.00 90.00 90.00°
Closest atoms and distances in Å follow each position.
Fractional coordinates of all 16 atoms:
La1 0.5000 0.5000 0.0000  4 Pr 3.69, 8 La 3.72
La2 0.5000 0.5000 0.2516  8 La 3.68, 4 Ho 3.69
La3 0.5000 0.5000 0.5000  8 La 3.68, 4 Ho 3.69
La4 0.5000 0.5000 0.7484  8 La 3.68, 4 Ho 3.69
La5 0.5000 0.0000 0.1269  2 Ho 3.68, 8 La 3.68-3.72, 2 Pr 3.72
La6 0.5000 0.0000 0.3759  4 Ho 3.68, 8 La 3.68-3.69
La7 0.5000 0.0000 0.6241  4 Ho 3.68, 8 La 3.68-3.69
La8 0.5000 0.0000 0.8731  2 Ho 3.68, 8 La 3.68-3.72, 2 Pr 3.72
La9 0.0000 0.5000 0.1269  2 Ho 3.68, 8 La 3.68-3.72, 2 Pr 3.72
La10 0.0000 0.5000 0.3759  8 La 3.68-3.69, 4 Ho 3.68
La11 0.0000 0.5000 0.6241  8 La 3.68-3.69, 4 Ho 3.68
La12 0.0000 0.5000 0.8731  2 Ho 3.68, 8 La 3.68-3.72, 2 Pr 3.72
Pr1 0.0000 0.0000 0.0000  12 La 3.69-3.72
Ho1 0.0000 0.0000 0.2515  12 La 3.68-3.69
Ho2 0.0000 0.0000 0.5000  12 La 3.68-3.69
Ho3 0.0000 0.0000 0.7485  12 La 3.68-3.69

Properties
Energy of formation from the pure elements, meV per atom: 8
Space group: No. 123


Entry 3:
DFT (GGA-PBE) results for a relaxed Na12Hg7Pd crystal.

Cell: 8.7942 8.7942 8.7942 Å, 108.19 108.19 108.19°
Closest atoms and distances in Å follow each position.
Fractional coordinates of all 20 atoms:
Na1 0.0518 0.3282 0.8772  3 Hg 3.03-3.23, 1 Pd 3.34, 1 Na 3.35
Na2 0.6718 0.1228 0.9482  3 Hg 3.03-3.23, 1 Pd 3.34, 1 Na 3.35
Na3 0.6520 0.2055 0.5297  4 Hg 3.11-3.31, 4 Na 3.35-3.43
Na4 0.7945 0.4703 0.3480  4 Hg 3.11-3.31, 4 Na 3.35-3.43
Na5 0.1228 0.9482 0.6718  3 Hg 3.03-3.23, 1 Pd 3.34, 1 Na 3.35
Na6 0.4703 0.3480 0.7945  4 Hg 3.11-3.31, 4 Na 3.35-3.43
Na7 0.5297 0.6520 0.2055  4 Hg 3.11-3.31, 4 Na 3.35-3.43
Na8 0.8772 0.0518 0.3282  3 Hg 3.03-3.23, 1 Pd 3.34, 1 Na 3.35
Na9 0.2055 0.5297 0.6520  4 Hg 3.11-3.31, 4 Na 3.35-3.43
Na10 0.3480 0.7945 0.4703  4 Hg 3.11-3.31, 4 Na 3.35-3.43
Na11 0.3282 0.8772 0.0518  3 Hg 3.03-3.23, 1 Pd 3.34, 1 Na 3.35
Na12 0.9482 0.6718 0.1228  3 Hg 3.03-3.23, 1 Pd 3.34, 1 Na 3.35
Hg1 0.9206 0.6357 0.7600  1 Pd 2.94, 6 Na 3.03-3.26, 1 Hg 3.25
Hg2 0.3643 0.2400 0.0794  1 Pd 2.94, 6 Na 3.03-3.26, 1 Hg 3.25
Hg3 0.2400 0.0794 0.3643  1 Pd 2.94, 6 Na 3.03-3.26, 1 Hg 3.25
Hg4 0.5000 0.5000 0.5000  6 Hg 3.25, 6 Na 3.31
Hg5 0.7600 0.9206 0.6357  1 Pd 2.94, 6 Na 3.03-3.26, 1 Hg 3.25
Hg6 0.6357 0.7600 0.9206  1 Pd 2.94, 6 Na 3.03-3.26, 1 Hg 3.25
Hg7 0.0794 0.3643 0.2400  1 Pd 2.94, 6 Na 3.03-3.26, 1 Hg 3.25
Pd1 0.0000 0.0000 0.0000  6 Hg 2.94

Properties
Energy of formation from the pure elements, meV per atom: -165
Space group: No. 148


Entry 4:
DFT (GGA-PBE) results for a relaxed Al2RePt crystal.

Cell: 2.7553 2.7553 8.0036 Å, 90.00 90.00 90.00°
Closest atoms and distances in Å follow each position.
Fractional coordinates of all 4 atoms:
Re1 0.5000 0.5000 0.7477  4 Re 2.76, 4 Al 2.76, 4 Pt 2.78
Al1 0.0000 0.0000 0.9922  8 Al 2.76-2.90, 4 Re 2.76
Al2 0.5000 0.5000 0.2602  4 Pt 2.73, 8 Al 2.76-2.90
Pt1 0.0000 0.0000 0.4999  4 Al 2.73, 4 Pt 2.76, 4 Re 2.78

Properties
Energy of formation from the pure elements, meV per atom: -209
Space group: No. 99


Copy entry 1 word for word.
DFT (GGA-PBE) results for a relaxed PuH8Ir2Rh crystal.

Cell: 4.7145 4.7145 6.1578 Å, 67.49 67.49 60.00°
Closest atoms and distances in Å follow each position.
Fractional coordinates of all 12 atoms:
Pu1 0.5000 0.5000 0.5000  6 H 2.34
H1 0.1819 0.1819 0.4543  1 Ir 1.62
H2 0.6398 0.2475 0.1912  1 Ir 1.70, 1 Rh 1.78
H3 0.8181 0.8181 0.5457  1 Ir 1.62
H4 0.9215 0.6398 0.1912  1 Ir 1.70, 1 Rh 1.78
H5 0.0785 0.3602 0.8088  1 Ir 1.70, 1 Rh 1.78
H6 0.2475 0.9215 0.1912  1 Ir 1.70, 1 Rh 1.78
H7 0.7525 0.0785 0.8088  1 Ir 1.70, 1 Rh 1.78
H8 0.3602 0.7525 0.8088  1 Ir 1.70, 1 Rh 1.78
Ir1 0.2798 0.2798 0.1607  4 H 1.62-1.70
Ir2 0.7202 0.7202 0.8393  4 H 1.62-1.70
Rh1 0.0000 0.0000 0.0000  6 H 1.78

Properties
Space group: No. 148
E, eV/atom: -5.570